Compound: YTcPO
Source: the Open Quantum Materials Database
Functional: GGA-PBE
Structure: relaxed

Results
- final energy (hartree per atom) = -0.259

Geometry as POSCAR:
```
YTcPO
1.0
4.469 0.000 0.000
0.000 4.469 0.000
0.000 0.000 7.541
Y Tc P O
2 2 2 2
direct
0.250 0.750 0.000
0.750 0.250 0.000
0.250 0.250 0.486
0.750 0.750 0.514
0.250 0.250 0.801
0.750 0.750 0.199
0.250 0.750 0.500
0.750 0.250 0.500
```

***

Compound: Al2BiAu
Source: the Open Quantum Materials Database
Functional: GGA-PBE
Structure: relaxed

Results
- final energy (hartree per atom) = -0.129

Geometry as POSCAR:
```
Al2BiAu
1.0
7.015 0.000 0.000
0.000 7.015 0.000
0.000 0.000 7.015
Al Bi Au
8 4 4
direct
0.000 0.000 0.000
0.000 0.500 0.500
0.250 0.250 0.250
0.250 0.750 0.750
0.500 0.000 0.500
0.500 0.500 0.000
0.750 0.250 0.750
0.750 0.750 0.250
0.000 0.000 0.500
0.000 0.500 0.000
0.500 0.000 0.000
0.500 0.500 0.500
0.250 0.250 0.750
0.250 0.750 0.250
0.750 0.250 0.250
0.750 0.750 0.750
```

***

Compound: FeBiIrAu
Source: the Open Quantum Materials Database
Functional: GGA-PBE
Structure: relaxed

Results
- final energy (hartree per atom) = -0.209

Geometry as POSCAR:
```
FeBiIrAu
1.0
6.571 0.000 0.000
0.000 6.571 0.000
0.000 0.000 6.571
Fe Bi Ir Au
4 4 4 4
direct
0.000 0.000 0.000
0.000 0.500 0.500
0.500 0.000 0.500
0.500 0.500 0.000
0.250 0.250 0.750
0.250 0.750 0.250
0.750 0.250 0.250
0.750 0.750 0.750
0.000 0.000 0.500
0.000 0.500 0.000
0.500 0.000 0.000
0.500 0.500 0.500
0.250 0.250 0.250
0.250 0.750 0.750
0.750 0.250 0.750
0.750 0.750 0.250
```